! Na2Mg, optimized geometry, DFT PBE-GGA; values from VASP
&SYSTEM
  ibrav = 0, nat = 6, ntyp = 2
/
ATOMIC_SPECIES
Na 22.99 Na.upf
Mg 24.30 Mg.upf
ATOMIC_POSITIONS angstrom
Na -0.1327 -0.1243 -3.0068
Na 2.6802 -3.3038 -3.3614
Na -1.1314 -3.6198 -2.1075
Na -3.9443 -0.4403 -1.7529
Mg -1.1620 -1.0385 0.0942
Mg -3.4860 -3.1156 0.2827
CELL_PARAMETERS angstrom
1.3039 -5.9597 2.1341
-5.9519 1.8055 -1.7572
3.3838 0.4101 -5.4912
! calculated volume: 33.33 Å³ per atom
! energy of formation from the pure elements: 0.111 eV per atom
! magnetic moment: 0.000 μB per atom